The following is a PBE-GGA calculation of a geometry-optimized MgSbW structure, from the Alexandria database.

For the total magnetization, the calculation gives 0.000 μB/atom. As for the energy above the most stable polymorph in this dataset: 159.5 meV/atom. The uncorrected formation energy is 478 meV/atom. As for the energy: -0.42224 Ry/atom.

```
MgSbW
1.0
4.828 0.000 0.000
-2.414 4.181 0.000
0.000 0.000 2.905
Mg Sb W
1 1 1
direct
0.000 0.000 0.000 Mg
0.667 0.333 0.500 Sb
0.333 0.667 0.500 W
```